Here is LaSi2Ag after structural relaxation from Alexandria. Energies are from PBE-GGA.

Unit cell a=4.508 b=4.508 c=5.677 alpha=109.03 beta=109.03 gamma=53.18
Fractional coordinates of all 4 atoms:
La: 0.000 0.000 0.000
Si: 0.234 0.234 0.639
Si: 0.766 0.766 0.361
Ag: 0.500 0.500 0.500

Density in g cm⁻³: 5.85
Crystal system: monoclinic
Raw formation energy in eV per formula unit: -1.327
Space group: C2/m, No. 12
DOS(E_F) in states/eV per cell: 1.546